# 1
This record from Alexandria via LeMat-Bulk describes a geometry-optimized CaSiRh2 structure. The functional is PBE-GGA.

a b c (Å): 4.5200 5.1697 5.1697
angles (deg): 34.41 90.00 90.00
Last column: nearest neighbours and their distance in Å.
Fractional coordinates of all 4 atoms:
Ca 0.0000 0.0000 0.0000  3 Rh 2.59-2.81
Si 0.5000 0.3503 0.3503  4 Rh 2.42-2.43
Rh 0.0000 0.2619 0.2619  2 Si 2.42, 1 Ca 2.59
Rh 0.5000 0.6595 0.6595  2 Si 2.43

M_tot in Bohr magnetons per cell: 0.00
Space-group type: Amm2
Final energy in eV for the cell shown: -23.84
Uncorrected formation energy in meV/atom: -428

***

# 2
This record from Alexandria via LeMat-Bulk describes a geometry-optimized CaSiRh2 structure. The functional is PBE-GGA.

a b c (Å): 5.2264 5.2264 5.2264
angles (deg): 137.67 137.67 61.40
Last column: nearest neighbours and their distance in Å.
Fractional coordinates of all 4 atoms:
Ca 0.0000 0.0000 0.0000  8 Rh 2.67-2.93, 4 Si 2.93
Si 0.7500 0.2500 0.5000  8 Rh 2.67-2.93, 4 Ca 2.93
Rh 0.2500 0.7500 0.5000  4 Si 2.67, 4 Ca 2.93, 4 Rh 2.93
Rh 0.5000 0.5000 0.0000  4 Ca 2.67, 4 Rh 2.93, 4 Si 2.93

M_tot in Bohr magnetons per cell: 0.00
Space-group type: I-4m2
Final energy in eV for the cell shown: -23.36
Uncorrected formation energy in meV/atom: -309